[1]
The following is a DFT calculation (PBE-GGA) of a relaxed structure of SrInSnHg.

Lattice parameters (Å, degrees): 5.4884 5.4884 5.4884 60.00 60.00 60.00
Fractional positions:
Sr (0.0000, 0.0000, 0.0000)
In (0.5000, 0.5000, 0.5000)
Sn (0.2500, 0.2500, 0.2500)
Hg (0.7500, 0.7500, 0.7500)

Results
The calculation puts the energy relative to the elements at -0.326 eV/atom. Its theoretical density is 7.41 g cm⁻³. The space-group type is F-43m. The value obtained for the electronic total energy is -2.51 eV per atom. As for the energy above the most stable polymorph in this dataset: 0.00 eV/f.u.

***

[2]
The following is a DFT calculation (PBE-GGA) of a relaxed structure of SrInSnHg.

Lattice parameters (Å, degrees): 4.8938 4.8938 6.2792 90.10 90.10 59.89
Fractional positions:
Sr (0.0000, 0.0000, 0.0000)
In (0.3345, 0.3345, 0.4896)
Sn (0.6676, 0.6676, 0.2817)
Hg (0.6669, 0.6669, 0.7497)

Results
The calculation puts the energy relative to the elements at -0.282 eV/atom. Its theoretical density is 6.66 g cm⁻³. The space-group type is Cm. The value obtained for the electronic total energy is -2.46 eV per atom. As for the energy above the most stable polymorph in this dataset: 0.18 eV/f.u.

***

[3]
The following is a DFT calculation (PBE-GGA) of a relaxed structure of SrInSnHg2.

Lattice parameters (Å, degrees): 7.3000 7.3000 7.3000 142.42 142.42 54.20
Fractional positions:
Sr (0.0000, 0.0000, 0.0000)
In (0.2500, 0.7500, 0.5000)
Sn (0.7500, 0.2500, 0.5000)
Hg (0.3926, 0.3926, 0.0000)
Hg (0.6074, 0.6074, 0.0000)

Results
The calculation puts the energy relative to the elements at -0.319 eV/atom. Its theoretical density is 8.35 g cm⁻³. The space-group type is I-4m2. The value obtained for the electronic total energy is -2.12 eV per atom.

***

| no. | total moment (μB per atom) |
| --- | --- |
| 1 | 0.000 |
| 2 | 0.000 |
| 3 | 0.000 |